Below is crystalline BaZrB4 at its relaxed geometry, with properties calculated at the PBE level.

Calculated values
* VASP energy: -6.158 eV per atom

Cell: 3.127 7.314 7.686 Å, 90.00 90.00 90.00°
Space group Immm (No. 71)
Symmetry-distinct sites (fractional):
Ba (0.000, 0.000, 0.000) [2 per cell]
Zr (0.000, 0.000, 0.500) [2 per cell]
B (0.000, 0.277, 0.241) [8 per cell]